[1]
# Pr3Nd4Cu4 (PBE-GGA, relaxed)
data_Pr3Nd4Cu4
_chemical_formula_sum 'Pr6 Nd8 Cu8'
_space_group_name_H-M_alt 'I m m m'
_space_group_IT_number 71
_space_group_name_Hall '-I 2 2'
_cell_length_a 4.964
_cell_length_b 7.622
_cell_length_c 15.652
_cell_angle_alpha 90.00
_cell_angle_beta 90.00
_cell_angle_gamma 90.00
loop_
_atom_site_label
_atom_site_fract_x
_atom_site_fract_y
_atom_site_fract_z
_atom_site_occupancy
Pr1 0.000 0.000 0.000 1
Pr2 0.000 0.500 0.102 1
Nd1 0.000 0.280 0.330 1
Cu1 0.000 0.000 0.202 1
Cu2 0.000 0.163 0.500 1
# - Calculated volume: 26.92 Å³/atom
# - Magnetization: 0.00 μB per formula unit
# - Mass density: 7.03 g/cm3
# - ΔH_f (0 K): -42 meV/atom
# - VASP energy: -4.5683 eV per atom

---

[2]
# Pr2NdCu (PBE-GGA, relaxed)
data_Pr2NdCu
_chemical_formula_sum 'Pr6 Nd3 Cu3'
_space_group_name_H-M_alt 'R 3 m'
_space_group_IT_number 160
_space_group_name_Hall 'R 3 -2"'
_cell_length_a 3.7651
_cell_length_b 3.7651
_cell_length_c 30.4998
_cell_angle_alpha 90.00
_cell_angle_beta 90.00
_cell_angle_gamma 120.00
loop_
_atom_site_label
_atom_site_fract_x
_atom_site_fract_y
_atom_site_fract_z
_atom_site_occupancy
Pr1 0.0000 0.0000 0.0000 1
Pr2 0.0000 0.0000 0.1987 1
Nd1 0.0000 0.0000 0.7664 1
Cu1 0.0000 0.0000 0.5992 1
# - Calculated volume: 31.20 Å³/atom
# - Magnetization: 0.00 μB per formula unit
# - Mass density: 6.51 g/cm3
# - ΔH_f (0 K): 69 meV/atom
# - VASP energy: -4.5368 eV per atom
# - ΔE to the lowest computed polymorph: 0.121 eV per atom

---

[3]
# PrNd5Cu4 (PBE-GGA, relaxed)
data_PrNd5Cu4
_chemical_formula_sum 'Pr1 Nd5 Cu4'
_space_group_name_H-M_alt 'P 4/m m m'
_space_group_IT_number 123
_space_group_name_Hall '-P 4 2'
_cell_length_a 3.600
_cell_length_b 3.600
_cell_length_c 19.823
_cell_angle_alpha 90.00
_cell_angle_beta 90.00
_cell_angle_gamma 90.00
loop_
_atom_site_label
_atom_site_fract_x
_atom_site_fract_y
_atom_site_fract_z
_atom_site_occupancy
Pr1 0.000 0.000 0.000 1
Nd1 0.500 0.500 0.139 1
Nd2 0.500 0.500 0.318 1
Nd3 0.500 0.500 0.500 1
Cu1 0.000 0.000 0.228 1
Cu2 0.000 0.000 0.409 1
# - Calculated volume: 25.69 Å³/atom
# - Magnetization: 0.00 μB per formula unit
# - Mass density: 7.22 g/cm3
# - ΔH_f (0 K): -112 meV/atom
# - VASP energy: -4.6119 eV per atom

---

[4]
# PrNdCu2 (PBE-GGA, relaxed)
data_PrNdCu2
_chemical_formula_sum 'Pr3 Nd3 Cu6'
_space_group_name_H-M_alt 'R -3 m'
_space_group_IT_number 166
_space_group_name_Hall '-R 3 2"'
_cell_length_a 3.9750
_cell_length_b 3.9750
_cell_length_c 22.9746
_cell_angle_alpha 90.00
_cell_angle_beta 90.00
_cell_angle_gamma 120.00
loop_
_atom_site_label
_atom_site_fract_x
_atom_site_fract_y
_atom_site_fract_z
_atom_site_occupancy
Pr1 0.0000 0.0000 0.0000 1
Nd1 0.0000 0.0000 0.5000 1
Cu1 0.0000 0.0000 0.2493 1
# - Calculated volume: 26.20 Å³/atom
# - Magnetization: 0.00 μB per formula unit
# - Mass density: 6.53 g/cm3
# - ΔH_f (0 K): 69 meV/atom
# - VASP energy: -4.3660 eV per atom
# - ΔE to the lowest computed polymorph: 0.238 eV per atom

---

[5]
# PrNd5Cu6 (PBE-GGA, relaxed)
data_PrNd5Cu6
_chemical_formula_sum 'Pr2 Nd10 Cu12'
_space_group_name_H-M_alt 'C 1 2/m 1'
_space_group_IT_number 12
_cell_length_a 8.803
_cell_length_b 15.252
_cell_length_c 5.103
_cell_angle_alpha 90.00
_cell_angle_beta 125.28
_cell_angle_gamma 90.00
loop_
_space_group_symop_operation_xyz
'x,y,z'
'-x,-y,-z'
'-x,y,-z'
'x,-y,z'
'x+1/2,y+1/2,z'
'-x+1/2,-y+1/2,-z'
'-x+1/2,y+1/2,-z'
'x+1/2,-y+1/2,z'
loop_
_atom_site_label
_atom_site_fract_x
_atom_site_fract_y
_atom_site_fract_z
_atom_site_occupancy
Pr1 0.000 0.000 0.000 1
Nd1 0.000 0.166 0.500 1
Nd2 0.000 0.333 0.000 1
Nd3 0.000 0.500 0.500 1
Cu1 0.245 0.500 0.245 1
Cu2 0.247 0.332 0.747 1
# - Calculated volume: 23.30 Å³/atom
# - Magnetization: 0.00 μB per formula unit
# - Mass density: 7.38 g/cm3
# - ΔH_f (0 K): -135 meV/atom
# - VASP energy: -4.5677 eV per atom

---

[6]
# PrNdCu2 (PBE-GGA, relaxed)
data_PrNdCu2
_chemical_formula_sum 'Pr1 Nd1 Cu2'
_space_group_name_H-M_alt 'P 1 m 1'
_space_group_IT_number 6
_cell_length_a 3.974
_cell_length_b 4.547
_cell_length_c 5.646
_cell_angle_alpha 90.00
_cell_angle_beta 109.62
_cell_angle_gamma 90.00
loop_
_space_group_symop_operation_xyz
'x,y,z'
'x,-y,z'
loop_
_atom_site_label
_atom_site_fract_x
_atom_site_fract_y
_atom_site_fract_z
_atom_site_occupancy
Pr1 0.000 0.000 0.000 1
Nd1 0.715 0.500 0.431 1
Cu1 0.296 0.000 0.584 1
Cu2 0.417 0.500 0.844 1
# - Calculated volume: 24.03 Å³/atom
# - Magnetization: 0.00 μB per formula unit
# - Mass density: 7.12 g/cm3
# - ΔH_f (0 K): -169 meV/atom
# - VASP energy: -4.6040 eV per atom
# - ΔE to the lowest computed polymorph: 0.000 eV per atom

---

[7]
# PrNdCuPt (PBE-GGA, relaxed)
data_PrNdCuPt
_chemical_formula_sum 'Pr4 Nd4 Cu4 Pt4'
_space_group_name_H-M_alt 'F -4 3 m'
_space_group_IT_number 216
_space_group_name_Hall 'F -4 2 3'
_cell_length_a 7.236
_cell_length_b 7.236
_cell_length_c 7.236
_cell_angle_alpha 90.00
_cell_angle_beta 90.00
_cell_angle_gamma 90.00
loop_
_atom_site_label
_atom_site_fract_x
_atom_site_fract_y
_atom_site_fract_z
_atom_site_occupancy
Pr1 0.000 0.000 0.000 1
Nd1 0.000 0.000 0.500 1
Cu1 0.250 0.250 0.750 1
Pt1 0.250 0.250 0.250 1
# - Calculated volume: 23.68 Å³/atom
# - Magnetization: 0.00 μB per formula unit
# - Mass density: 9.53 g/cm3
# - ΔH_f (0 K): -601 meV/atom
# - VASP energy: -5.5216 eV per atom
# - ΔE to the lowest computed polymorph: 0.070 eV per atom

---

[8]
# PrNdCuPt (PBE-GGA, relaxed)
data_PrNdCuPt
_chemical_formula_sum 'Pr2 Nd2 Cu2 Pt2'
_space_group_name_H-M_alt 'A m m 2'
_space_group_IT_number 38
_cell_length_a 4.550
_cell_length_b 3.955
_cell_length_c 10.897
_cell_angle_alpha 90.00
_cell_angle_beta 90.00
_cell_angle_gamma 90.00
loop_
_space_group_symop_operation_xyz
'x,y,z'
'-x,-y,z'
'-x,y,z'
'x,-y,z'
'x,y+1/2,z+1/2'
'-x,-y+1/2,z+1/2'
'-x,y+1/2,z+1/2'
'x,-y+1/2,z+1/2'
loop_
_atom_site_label
_atom_site_fract_x
_atom_site_fract_y
_atom_site_fract_z
_atom_site_occupancy
Pr1 0.000 0.000 0.000 1
Nd1 0.500 0.000 0.724 1
Cu1 0.500 0.000 0.436 1
Pt1 0.000 0.000 0.285 1
# - Calculated volume: 24.51 Å³/atom
# - Magnetization: 0.00 μB per formula unit
# - Mass density: 9.21 g/cm3
# - ΔH_f (0 K): -670 meV/atom
# - VASP energy: -5.5912 eV per atom
# - ΔE to the lowest computed polymorph: 0.000 eV per atom